The following is a PBE calculation of crystalline KAc2PmS4 at its relaxed geometry, from Alexandria.

Cell: 4.253 7.309 7.485 Å, 70.73 90.00 90.00°
Atoms (fractional coordinates):
K 0.500 0.500 0.000
Ac 0.000 0.000 0.000
Ac 0.500 0.000 0.500
Pm 0.000 0.500 0.500
S 0.000 0.752 0.736
S 0.000 0.248 0.264
S 0.500 0.740 0.263
S 0.500 0.260 0.737

- Formation energy from raw total energies: -1888 meV/atom

The following is a PBE calculation of crystalline K2AcPmSe4 at its relaxed geometry, from Alexandria.

Cell: 4.450 7.719 8.134 Å, 108.37 90.00 90.00°
Atoms (fractional coordinates):
K 0.500 0.000 0.500
K 0.000 0.500 0.500
Ac 0.000 0.000 0.000
Pm 0.500 0.500 0.000
Se 0.500 0.251 0.216
Se 0.500 0.749 0.784
Se 0.000 0.274 0.789
Se 0.000 0.726 0.211

- Formation energy from raw total energies: -1779 meV/atom

The following is a PBE calculation of crystalline K3AcPm2Se6 at its relaxed geometry, from Alexandria.

Cell: 7.636 7.636 8.126 Å, 99.02 99.02 120.01°
Atoms (fractional coordinates):
K 0.166 0.834 0.500
K 0.834 0.166 0.500
K 0.500 0.500 0.500
Ac 0.000 0.000 0.000
Pm 0.333 0.667 0.000
Pm 0.667 0.333 0.000
Se 0.929 0.583 0.788
Se 0.725 0.725 0.212
Se 0.071 0.417 0.212
Se 0.583 0.929 0.788
Se 0.275 0.275 0.788
Se 0.417 0.071 0.212

- Formation energy from raw total energies: -1773 meV/atom

The following is a PBE calculation of crystalline KAcPm2Se4 at its relaxed geometry, from Alexandria.

Cell: 4.284 7.678 7.484 Å, 71.52 90.00 90.00°
Atoms (fractional coordinates):
K 0.000 0.500 0.500
Ac 0.500 0.500 0.000
Pm 0.000 0.000 0.000
Pm 0.500 0.000 0.500
Se 0.000 0.767 0.745
Se 0.000 0.233 0.255
Se 0.500 0.773 0.238
Se 0.500 0.227 0.762

- Formation energy from raw total energies: -1789 meV/atom